Entry 1:
# DyErRu2 | Alexandria | PBE | relaxed
# DFT formation energy, eV per atom: -0.353
# Total magnetization, μB per atom: 0.000
data_DyErRu2
_symmetry_space_group_name_H-M 'F m -3 m'
_symmetry_Int_Tables_number 225
_symmetry_space_group_name_Hall '-F 4 2 3'
_cell_length_a 6.7672
_cell_length_b 6.7672
_cell_length_c 6.7672
_cell_angle_alpha 90.00
_cell_angle_beta 90.00
_cell_angle_gamma 90.00
loop_
_atom_site_label
_atom_site_fract_x
_atom_site_fract_y
_atom_site_fract_z
Dy1 0.0000 0.0000 0.0000
Er1 0.0000 0.0000 0.5000
Ru1 0.2500 0.2500 0.2500


Entry 2:
# DyEr2Ru | Alexandria | PBE | relaxed
# Excess energy over the best structure of this formula in the dataset, meV/atom: 18.1
# DFT formation energy, eV per atom: -0.329
# Total magnetization, μB per atom: 0.000
data_DyEr2Ru
_symmetry_space_group_name_H-M 'C m c m'
_symmetry_Int_Tables_number 63
_symmetry_space_group_name_Hall '-C 2c 2'
_cell_length_a 3.8923
_cell_length_b 11.8298
_cell_length_c 9.0214
_cell_angle_alpha 90.00
_cell_angle_beta 90.00
_cell_angle_gamma 90.00
loop_
_atom_site_label
_atom_site_fract_x
_atom_site_fract_y
_atom_site_fract_z
Dy1 0.0000 0.0749 0.2500
Er1 0.0000 0.3566 0.0670
Ru1 0.0000 0.2570 0.7500


Entry 3:
# DyErRu2 | Alexandria | PBE | relaxed
# DFT formation energy, eV per atom: -0.356
# Total magnetization, μB per atom: 0.000
data_DyErRu2
_symmetry_space_group_name_H-M 'P 4/m m m'
_symmetry_Int_Tables_number 123
_symmetry_space_group_name_Hall '-P 4 2'
_cell_length_a 3.3838
_cell_length_b 3.3838
_cell_length_c 6.7684
_cell_angle_alpha 90.00
_cell_angle_beta 90.00
_cell_angle_gamma 90.00
loop_
_atom_site_label
_atom_site_fract_x
_atom_site_fract_y
_atom_site_fract_z
Dy1 0.0000 0.0000 0.0000
Er1 0.0000 0.0000 0.5000
Ru1 0.5000 0.5000 0.2520


Entry 4:
# Dy2ErRu | Alexandria | PBE | relaxed
# Excess energy over the best structure of this formula in the dataset, meV/atom: 0.0
# DFT formation energy, eV per atom: -0.334
# Total magnetization, μB per atom: 0.000
data_Dy2ErRu
_symmetry_space_group_name_H-M 'P n m a'
_symmetry_Int_Tables_number 62
_cell_length_a 7.2871
_cell_length_b 9.1545
_cell_length_c 6.2915
_cell_angle_alpha 90.00
_cell_angle_beta 90.00
_cell_angle_gamma 90.00
loop_
_symmetry_equiv_pos_as_xyz
'x,y,z'
'-x,-y,-z'
'-x+1/2,-y,z+1/2'
'x+1/2,y,-z+1/2'
'x+1/2,-y+1/2,-z+1/2'
'-x+1/2,y+1/2,z+1/2'
'-x,y+1/2,-z'
'x,-y+1/2,z'
loop_
_atom_site_label
_atom_site_fract_x
_atom_site_fract_y
_atom_site_fract_z
Dy1 0.1769 0.0639 0.1694
Er1 0.0412 0.2500 0.6336
Ru1 0.1148 0.7500 0.9633


Entry 5:
# Dy3ErRu2 | Alexandria | PBE | relaxed
# Excess energy over the best structure of this formula in the dataset, meV/atom: 104.5
# DFT formation energy, eV per atom: -0.245
# Total magnetization, μB per atom: 0.000
data_Dy3ErRu2
_symmetry_space_group_name_H-M 'I b a m'
_symmetry_Int_Tables_number 72
_symmetry_space_group_name_Hall '-I 2 2c'
_cell_length_a 6.6940
_cell_length_b 13.4584
_cell_length_c 7.0125
_cell_angle_alpha 90.00
_cell_angle_beta 90.00
_cell_angle_gamma 90.00
loop_
_atom_site_label
_atom_site_fract_x
_atom_site_fract_y
_atom_site_fract_z
Dy1 0.0000 0.0000 0.2500
Dy2 0.0000 0.2657 0.2500
Er1 0.0000 0.5000 0.0000
Ru1 0.2216 0.1345 0.0000


Entry 6:
# Dy2Er2Ru3 | Alexandria | PBE | relaxed
# Excess energy over the best structure of this formula in the dataset, meV/atom: 0.0
# DFT formation energy, eV per atom: -0.298
# Total magnetization, μB per atom: 0.000
data_Dy2Er2Ru3
_symmetry_space_group_name_H-M 'P -1'
_symmetry_Int_Tables_number 2
_cell_length_a 4.8643
_cell_length_b 4.8690
_cell_length_c 7.9803
_cell_angle_alpha 107.45
_cell_angle_beta 90.06
_cell_angle_gamma 119.95
loop_
_symmetry_equiv_pos_as_xyz
'x,y,z'
'-x,-y,-z'
loop_
_atom_site_label
_atom_site_fract_x
_atom_site_fract_y
_atom_site_fract_z
Dy1 0.1231 0.2465 0.3690
Er1 0.3742 0.7484 0.1215
Ru1 0.2488 0.4974 0.7469
Ru2 0.5000 0.0000 0.5000


Entry 7:
# Dy2ErRu2 | Alexandria | PBE | relaxed
# Excess energy over the best structure of this formula in the dataset, meV/atom: 55.9
# DFT formation energy, eV per atom: -0.289
# Total magnetization, μB per atom: 0.000
data_Dy2ErRu2
_symmetry_space_group_name_H-M 'C m c 21'
_symmetry_Int_Tables_number 36
_cell_length_a 4.2322
_cell_length_b 11.1561
_cell_length_c 9.8094
_cell_angle_alpha 90.00
_cell_angle_beta 90.00
_cell_angle_gamma 90.00
loop_
_symmetry_equiv_pos_as_xyz
'x,y,z'
'-x,-y,z+1/2'
'-x,y,z'
'x,-y,z+1/2'
'x+1/2,y+1/2,z'
'-x+1/2,-y+1/2,z+1/2'
'-x+1/2,y+1/2,z'
'x+1/2,-y+1/2,z+1/2'
loop_
_atom_site_label
_atom_site_fract_x
_atom_site_fract_y
_atom_site_fract_z
Dy1 0.0000 0.0942 0.0000
Dy2 0.0000 0.3535 0.1864
Er1 0.0000 0.3533 0.8137
Ru1 0.0000 0.0012 0.2507
Ru2 0.0000 0.1926 0.4986


Entry 8:
# DyEr5Ru4 | Alexandria | PBE | relaxed
# Excess energy over the best structure of this formula in the dataset, meV/atom: 0.0
# DFT formation energy, eV per atom: -0.338
# Total magnetization, μB per atom: 0.000
data_DyEr5Ru4
_symmetry_space_group_name_H-M 'P 4/m m m'
_symmetry_Int_Tables_number 123
_symmetry_space_group_name_Hall '-P 4 2'
_cell_length_a 3.3842
_cell_length_b 3.3842
_cell_length_c 18.9333
_cell_angle_alpha 90.00
_cell_angle_beta 90.00
_cell_angle_gamma 90.00
loop_
_atom_site_label
_atom_site_fract_x
_atom_site_fract_y
_atom_site_fract_z
Dy1 0.0000 0.0000 0.0000
Er1 0.5000 0.5000 0.1470
Er2 0.5000 0.5000 0.3233
Er3 0.5000 0.5000 0.5000
Ru1 0.0000 0.0000 0.2285
Ru2 0.0000 0.0000 0.4109